1.
Material: K2SbP
Method: DFT, PBE
State: relaxed

Cell: 4.511 4.511 10.633 Å, 90.00 90.00 90.00°
Space group I4/mmm (No. 139)
Unique sites:
K 0.000 0.500 0.250 x4
Sb 0.000 0.000 0.000 x2
P 0.000 0.000 0.500 x2

Results
energy relative to the elements, uncorrected = -68.7 meV/atom

=====

2.
Material: Fe2TcPt
Method: DFT, PBE
State: relaxed

Cell: 8.691 2.663 4.734 Å, 90.00 99.22 90.00°
Space group C2/m (No. 12)
Unique sites:
Fe 0.250 0.000 0.240 x4
Tc 0.000 0.500 0.000 x2
Pt 0.000 0.000 0.500 x2

Results
formation energy = -0.0070 eV per atom

=====

3.
Material: CsCdFe2Se
Method: DFT, PBE
State: relaxed

Cell: 4.950 4.950 6.178 Å, 90.00 90.00 90.00°
Space group P4/mmm (No. 123)
Unique sites:
Cs 0.000 0.000 0.000 x1
Cd 0.000 0.000 0.500 x1
Fe 0.000 0.500 0.000 x2
Se 0.500 0.500 0.500 x1

Results
energy relative to the elements, uncorrected = 2053.7 meV/atom

=====

Calculated DFT total energy (eV/atom), listed in the same order as above: -3.00 -8.34 -2.38
Calculated volume (Å³/cell), listed in the same order as above: 216.3 108.1 151.4